Entry 1:
Compound: Pm9Pr11Dy4
Source: Alexandria
Functional: PBE
Structure: relaxed

Magnetic moment, μB/cell: 0.0
VASP energy, eV for the cell shown: -112.40
Calculated formation energy, eV/atom: 0.06
Mass density, g/cm3: 6.90
Symmetry: Cmmm, No. 65

Cell lengths 15.7592, 15.7592, 3.7102 Å; angles 90.00, 90.00, 113.75 degrees
With the nearest neighbours (Å) after each atom.
Positions (direct):
1 Pm 0.0000 0.0000 0.0000  2 Pm 3.71, 4 Dy 3.83, 8 Pr 3.91-4.06
2 Pm 0.1281 0.6659 0.0000  3 Pm 3.55-3.71, 1 Dy 3.55, 8 Pr 3.61-3.79
3 Pm 0.2874 0.4363 0.0000  1 Dy 3.57, 8 Pr 3.60-3.82, 3 Pm 3.71-3.93
4 Pm 0.3341 0.8719 0.0000  3 Pm 3.55-3.71, 1 Dy 3.55, 8 Pr 3.61-3.79
5 Pm 0.4363 0.2874 0.0000  1 Dy 3.57, 8 Pr 3.60-3.82, 3 Pm 3.71-3.93
6 Pm 0.5637 0.7126 0.0000  1 Dy 3.57, 8 Pr 3.60-3.82, 3 Pm 3.71-3.93
7 Pm 0.6659 0.1281 0.0000  3 Pm 3.55-3.71, 1 Dy 3.55, 8 Pr 3.61-3.79
8 Pm 0.7126 0.5637 0.0000  1 Dy 3.57, 8 Pr 3.60-3.82, 3 Pm 3.71-3.93
9 Pm 0.8719 0.3341 0.0000  3 Pm 3.55-3.71, 1 Dy 3.55, 8 Pr 3.61-3.79
10 Pr 0.0974 0.4587 0.5000  2 Dy 3.47, 6 Pm 3.61-3.78, 4 Pr 3.71-3.85
11 Pr 0.1302 0.8698 0.5000  4 Dy 3.39, 4 Pm 3.70, 2 Pr 3.71
12 Pr 0.2099 0.2099 0.5000  4 Dy 3.38, 2 Pr 3.71, 4 Pm 3.76
13 Pr 0.3369 0.6631 0.5000  4 Pr 3.71-3.85, 8 Pm 3.79-3.82
14 Pr 0.4587 0.0974 0.5000  2 Dy 3.47, 6 Pm 3.61-3.78, 4 Pr 3.71-3.85
15 Pr 0.5000 0.5000 0.5000  8 Pm 3.60, 2 Pr 3.71
16 Pr 0.5413 0.9026 0.5000  2 Dy 3.47, 6 Pm 3.61-3.78, 4 Pr 3.71-3.85
17 Pr 0.6631 0.3369 0.5000  4 Pr 3.71-3.85, 8 Pm 3.79-3.82
18 Pr 0.7901 0.7901 0.5000  4 Dy 3.38, 2 Pr 3.71, 4 Pm 3.76
19 Pr 0.8698 0.1302 0.5000  4 Dy 3.39, 4 Pm 3.70, 2 Pr 3.71
20 Pr 0.9026 0.5413 0.5000  2 Dy 3.47, 6 Pm 3.61-3.78, 4 Pr 3.71-3.85
21 Dy 0.0574 0.2605 0.0000  6 Pr 3.38-3.47, 2 Pm 3.55-3.57, 2 Dy 3.71
22 Dy 0.2605 0.0574 0.0000  6 Pr 3.38-3.47, 2 Pm 3.55-3.57, 2 Dy 3.71
23 Dy 0.7395 0.9426 0.0000  6 Pr 3.38-3.47, 2 Pm 3.55-3.57, 2 Dy 3.71
24 Dy 0.9426 0.7395 0.0000  6 Pr 3.38-3.47, 2 Pm 3.55-3.57, 2 Dy 3.71

---

Entry 2:
Compound: Pr4H2CN
Source: Alexandria
Functional: PBE
Structure: relaxed

Magnetic moment, μB/cell: 0.0
VASP energy, eV for the cell shown: -48.14
Mass density, g/cm3: 6.69
Symmetry: P2/m, No. 10

Cell lengths 6.4211, 3.7175, 6.5031 Å; angles 90.00, 108.95, 90.00 degrees
With the nearest neighbours (Å) after each atom.
Positions (direct):
1 Pr 0.2389 0.0000 0.2267  2 N 2.55, 1 C 2.57, 3 H 2.70-2.74
2 Pr 0.2544 0.5000 0.7706  1 N 2.54, 2 C 2.58, 3 H 2.71-2.72
3 Pr 0.7456 0.5000 0.2294  1 N 2.54, 2 C 2.58, 3 H 2.71-2.72
4 Pr 0.7611 0.0000 0.7733  2 N 2.55, 1 C 2.57, 3 H 2.70-2.74
5 H 0.0000 0.0000 0.5000  6 Pr 2.70-2.71
6 H 0.5000 0.5000 0.5000  6 Pr 2.72-2.74
7 C 0.5000 0.0000 0.0000  6 Pr 2.57-2.58
8 N 0.0000 0.5000 0.0000  6 Pr 2.54-2.55

---

Entry 3:
Compound: BaP2Ru
Source: Alexandria
Functional: PBE
Structure: relaxed

Magnetic moment, μB/cell: 0.0
VASP energy, eV for the cell shown: -46.30
Energy above the lowest structure with this stoichiometry, meV per atom: 366
Calculated formation energy, eV/atom: -0.28
Mass density, g/cm3: 5.90
Symmetry: Imm2, No. 44

Cell lengths 3.4371, 3.6566, 13.4410 Å; angles 90.00, 90.00, 90.00 degrees
With the nearest neighbours (Å) after each atom.
Positions (direct):
1 Ba 0.0000 0.0000 0.0000  6 P 3.16-3.24, 2 Ba 3.44
2 Ba 0.5000 0.5000 0.5000  6 P 3.16-3.24, 2 Ba 3.44
3 P 0.0000 0.0000 0.3576  2 Ru 2.30
4 P 0.0000 0.5000 0.7040  4 Ru 2.60, 2 P 2.69
5 P 0.5000 0.0000 0.2040  4 Ru 2.60, 2 P 2.69
6 P 0.5000 0.5000 0.8576  2 Ru 2.30
7 Ru 0.0000 0.5000 0.2544  2 P 2.30
8 Ru 0.5000 0.0000 0.7544  2 P 2.30

---

Entry 4:
Compound: Xe
Source: Alexandria
Functional: PBE
Structure: relaxed

Magnetic moment, μB/cell: 0.0
VASP energy, eV for the cell shown: -0.08
Energy above the lowest structure with this stoichiometry, meV per atom: 8
Calculated formation energy, eV/atom: 0.01
Mass density, g/cm3: 2.28
Symmetry: R-3m, No. 166

Cell lengths 6.0160, 6.0160, 9.1686 Å; angles 90.00, 90.00, 120.00 degrees
With the nearest neighbours (Å) after each atom.
Positions (direct):
1 Xe 0.0000 0.0000 0.0000  6 Xe 4.63
2 Xe 0.3333 0.6667 0.6667  6 Xe 4.63
3 Xe 0.6667 0.3333 0.3333  6 Xe 4.63

---

Entry 5:
Compound: DyHoCoAu
Source: Alexandria
Functional: PBE
Structure: relaxed

Magnetic moment, μB/cell: 2.0
VASP energy, eV for the cell shown: -85.48
Calculated formation energy, eV/atom: -0.45
Mass density, g/cm3: 11.51
Symmetry: F-43m, No. 216

Cell lengths 6.9563, 6.9563, 6.9563 Å; angles 90.00, 90.00, 90.00 degrees
With the nearest neighbours (Å) after each atom.
Positions (direct):
1 Dy 0.0000 0.0000 0.0000  4 Co 3.01, 4 Au 3.01
2 Dy 0.0000 0.5000 0.5000  4 Co 3.01, 4 Au 3.01
3 Dy 0.5000 0.0000 0.5000  4 Co 3.01, 4 Au 3.01
4 Dy 0.5000 0.5000 0.0000  4 Co 3.01, 4 Au 3.01
5 Ho 0.0000 0.0000 0.5000  4 Au 3.01, 4 Co 3.01
6 Ho 0.0000 0.5000 0.0000  4 Au 3.01, 4 Co 3.01
7 Ho 0.5000 0.0000 0.0000  4 Au 3.01, 4 Co 3.01
8 Ho 0.5000 0.5000 0.5000  4 Au 3.01, 4 Co 3.01
9 Co 0.2500 0.2500 0.2500  4 Ho 3.01, 4 Dy 3.01
10 Co 0.2500 0.7500 0.7500  4 Dy 3.01, 4 Ho 3.01
11 Co 0.7500 0.2500 0.7500  4 Dy 3.01, 4 Ho 3.01
12 Co 0.7500 0.7500 0.2500  4 Dy 3.01, 4 Ho 3.01
13 Au 0.2500 0.2500 0.7500  4 Dy 3.01, 4 Ho 3.01
14 Au 0.2500 0.7500 0.2500  4 Dy 3.01, 4 Ho 3.01
15 Au 0.7500 0.2500 0.2500  4 Dy 3.01, 4 Ho 3.01
16 Au 0.7500 0.7500 0.7500  4 Dy 3.01, 4 Ho 3.01

---

Entry 6:
Compound: Sm2Zn5Pt3
Source: Alexandria
Functional: PBE
Structure: relaxed

Magnetic moment, μB/cell: 0.0
VASP energy, eV for the cell shown: -81.86
Energy above the lowest structure with this stoichiometry, meV per atom: 0
Calculated formation energy, eV/atom: -0.70
Mass density, g/cm3: 10.73
Symmetry: Cmc2_1, No. 36

Cell lengths 12.5710, 12.5710, 6.9614 Å; angles 90.00, 90.00, 160.05 degrees
With the nearest neighbours (Å) after each atom.
Positions (direct):
1 Sm 0.0217 0.9783 0.5000  5 Pt 2.85-3.17, 3 Zn 3.12-3.19
2 Sm 0.3233 0.6767 0.5574  4 Pt 3.01-3.13, 9 Zn 3.09-3.21
3 Sm 0.6767 0.3233 0.0574  4 Pt 3.01-3.13, 9 Zn 3.09-3.21
4 Sm 0.9783 0.0217 0.0000  5 Pt 2.85-3.17, 3 Zn 3.12-3.19
5 Zn 0.1047 0.8953 0.8509  3 Pt 2.61-2.67, 1 Zn 2.62
6 Zn 0.2044 0.7956 0.3818  4 Pt 2.57-2.65, 1 Zn 2.64
7 Zn 0.2076 0.7924 0.7612  3 Pt 2.61-2.63, 2 Zn 2.62-2.64
8 Zn 0.3723 0.6277 0.0152  2 Pt 2.64-2.70
9 Zn 0.4466 0.5534 0.6772  4 Pt 2.61-2.72
10 Zn 0.5534 0.4466 0.1772  4 Pt 2.61-2.72
11 Zn 0.6277 0.3723 0.5152  2 Pt 2.64-2.70
12 Zn 0.7924 0.2076 0.2612  3 Pt 2.61-2.63, 2 Zn 2.62-2.64
13 Zn 0.7956 0.2044 0.8818  4 Pt 2.57-2.65, 1 Zn 2.64
14 Zn 0.8953 0.1047 0.3509  3 Pt 2.61-2.67, 1 Zn 2.62
15 Pt 0.1094 0.8906 0.2340  4 Zn 2.57-2.67, 1 Sm 2.85
16 Pt 0.2672 0.7328 0.0747  7 Zn 2.61-2.65
17 Pt 0.4504 0.5496 0.2868  5 Zn 2.61-2.72
18 Pt 0.5496 0.4504 0.7868  5 Zn 2.61-2.72
19 Pt 0.7328 0.2672 0.5747  7 Zn 2.61-2.65
20 Pt 0.8906 0.1094 0.7340  4 Zn 2.57-2.67, 1 Sm 2.85